Material: CaPSe2
Method: DFT, PBE-GGA
State: relaxed

Calculated values
The size of the total moment comes out at 0.00 μB per formula unit. The formation energy (no corrections) is -0.4760 eV per atom. As for the energy: -0.1496 hartree per atom. As for the symmetry: C2/m, No. 12.

POSCAR file:
```
CaPSe2
1.0
6.3367 0.0027 0.0076
5.0129 3.8761 0.0076
-1.3538 -0.4627 3.8480
P Se Ca
1 2 1
Direct
0.7500 0.7500 0.7500
0.9799 0.9799 0.9793
0.5201 0.5201 0.5207
0.2500 0.2500 0.2500
```